Record 1
Compound: SiPbCl2
Source: Alexandria via LeMat-Bulk
Functional: PBE
Structure: relaxed

a = 3.9311 Å, b = 4.2798 Å, c = 7.7869 Å
α = 90.00°, β = 90.00°, γ = 90.00°
Element x y z (fractional)
Si1 0.0000 0.0000 0.0000
Pb1 0.5000 0.5000 0.0740
Cl1 0.0000 0.0000 0.7335
Cl2 0.5000 0.5000 0.3923

Energy above the most stable polymorph in this dataset (meV per atom): 0.0
Crystal system: orthorhombic

***

Record 2
Compound: Ba2LaCu
Source: Alexandria via LeMat-Bulk
Functional: PBE
Structure: relaxed

a = 10.0883 Å, b = 10.0883 Å, c = 10.0883 Å
α = 157.66°, β = 154.14°, γ = 34.43°
Element x y z (fractional)
Ba1 0.1591 0.1591 0.0000
Ba2 0.8409 0.8409 0.0000
La1 0.5000 0.0000 0.5000
Cu1 0.0000 0.5000 0.5000

Energy above the most stable polymorph in this dataset (meV per atom): 83.4
Energy relative to the elements (eV per atom): 0.13
Crystal system: orthorhombic